No. 1
Density functional theory data (PBE) for a geometry-optimized Tl4Bi2Au structure.

Computed properties:
**Spin magnetization**: 0.0 μB per formula unit
**E_form**: -0.03 eV per atom

Cell: 13.426 4.526 7.381 Å, 90.00 98.03 90.00°
Space group C2/m (No. 12)
Asymmetric unit:
Tl: 0.022 0.000 0.270 [4 per cell]
Tl: 0.158 0.500 0.594 [4 per cell]
Bi: 0.208 0.500 0.122 [4 per cell]
Au: 0.000 0.500 0.000 [2 per cell]



No. 2
Density functional theory data (PBE) for a geometry-optimized TlBi2Au2 structure.

Computed properties:
**E above lowest polymorph**: 0.062 eV/atom
**Spin magnetization**: 0.0 μB per formula unit
**E_form**: 0.02 eV per atom

Cell: 5.012 5.012 11.604 Å, 90.00 90.00 90.00°
Space group I4/mmm (No. 139)
Asymmetric unit:
Tl: 0.000 0.000 0.000 [2 per cell]
Bi: 0.000 0.500 0.250 [4 per cell]
Au: 0.000 0.000 0.383 [4 per cell]



No. 3
Density functional theory data (PBE) for a geometry-optimized TlBi3Au structure.

Computed properties:
**E above lowest polymorph**: 0.000 eV/atom
**Spin magnetization**: 0.0 μB per formula unit
**E_form**: 0.00 eV per atom

Cell: 6.782 6.712 6.961 Å, 90.00 96.25 90.00°
Space group P2_1 (No. 4)
Asymmetric unit:
Tl: 0.232 0.000 0.294 [2 per cell]
Bi: 0.143 0.875 0.781 [2 per cell]
Bi: 0.255 0.503 0.501 [2 per cell]
Bi: 0.268 0.450 0.006 [2 per cell]
Au: 0.445 0.178 0.734 [2 per cell]



No. 4
Density functional theory data (PBE) for a geometry-optimized TlBi6Au3 structure.

Computed properties:
**Spin magnetization**: 0.0 μB per formula unit
**E_form**: 0.04 eV per atom

Cell: 9.375 4.556 14.468 Å, 90.00 102.06 90.00°
Space group P2_1/m (No. 11)
Asymmetric unit:
Tl: 0.231 0.250 0.220 [2 per cell]
Bi: 0.070 0.250 0.798 [2 per cell]
Bi: 0.127 0.750 0.037 [2 per cell]
Bi: 0.142 0.250 0.541 [2 per cell]
Bi: 0.224 0.750 0.397 [2 per cell]
Bi: 0.401 0.750 0.665 [2 per cell]
Bi: 0.415 0.750 0.897 [2 per cell]
Au: 0.090 0.750 0.678 [2 per cell]
Au: 0.300 0.250 0.977 [2 per cell]
Au: 0.462 0.250 0.553 [2 per cell]